First-principles (PBEsol) data for a relaxed structure of TaBeF2, as listed in Alexandria via LeMat-Bulk.

Calculated values
Its symmetry is R-3m, No. 166. As for the energy relative to the elements, uncorrected: -104.2 kJ per mole of atoms.

Lattice parameters (Å, degrees): 8.0335 8.0335 8.0335 19.56 19.56 19.56
Closest atoms and distances in Å follow each position.
Positions (direct):
Ta 0.0000 0.0000 0.0000  6 F 2.22
Be 0.5000 0.5000 0.5000  2 F 2.38
F 0.3993 0.3993 0.3993  3 Ta 2.22, 1 Be 2.38
F 0.6007 0.6007 0.6007  3 Ta 2.22, 1 Be 2.38